VASP calculation (PBE-GGA) on crystalline La3CeTm2Se6 at its relaxed geometry.

Results
DFT total energy, eV per cell: -72.901
Space group: C2/m (12)
Theoretical density, Mg/m³: 7.24
E_form (uncorrected), eV per atom: -1.86

```
La3CeTm2Se6
1.0
3.612 -6.273 0.000
3.612 6.273 0.000
-2.426 0.000 6.921
La Ce Tm Se
3 1 2 6
direct
0.000 0.000 0.000
0.337 0.663 0.000
0.663 0.337 0.000
0.500 0.500 0.500
0.167 0.833 0.500
0.833 0.167 0.500
0.079 0.423 0.268
0.233 0.233 0.728
0.423 0.079 0.268
0.577 0.921 0.732
0.767 0.767 0.272
0.921 0.577 0.732
```